[1]
MgPI3 | GGA-PBE | relaxed

Calculated values
Energy relative to the elements, uncorrected: 0.2229 eV per atom
Energy: -2.108 eV per atom
DOS(E_F): 6.46 states/eV/cell

Structure (CIF):
```
data_MgPI3
_chemical_formula_sum 'Mg1 P1 I3'
_symmetry_space_group_name_H-M 'P m -3 m'
_symmetry_Int_Tables_number 221
_symmetry_space_group_name_Hall '-P 4 2 3'
_cell_length_a 5.7309
_cell_length_b 5.7309
_cell_length_c 5.7309
_cell_angle_alpha 90.00
_cell_angle_beta 90.00
_cell_angle_gamma 90.00
loop_
_atom_site_label
_atom_site_type_symbol
_atom_site_fract_x
_atom_site_fract_y
_atom_site_fract_z
Mg1 Mg 0.0000 0.0000 0.0000
P1 P 0.5000 0.5000 0.5000
I1 I 0.0000 0.0000 0.5000
```

---

[2]
Rb2MgPI6 | GGA-PBE | relaxed

Calculated values
Energy relative to the elements, uncorrected: -0.7467 eV per atom
Energy: -2.571 eV per atom
DOS(E_F): 7.06 states/eV/cell

Structure (CIF):
```
data_Rb2MgPI6
_chemical_formula_sum 'Rb4 Mg2 P2 I12'
_symmetry_space_group_name_H-M 'I 4/m m m'
_symmetry_Int_Tables_number 139
_symmetry_space_group_name_Hall '-I 4 2'
_cell_length_a 8.2696
_cell_length_b 8.2696
_cell_length_c 11.6946
_cell_angle_alpha 90.00
_cell_angle_beta 90.00
_cell_angle_gamma 90.00
loop_
_atom_site_label
_atom_site_type_symbol
_atom_site_fract_x
_atom_site_fract_y
_atom_site_fract_z
Rb1 Rb 0.0000 0.5000 0.2500
Mg1 Mg 0.0000 0.0000 0.0000
P1 P 0.0000 0.0000 0.5000
I1 I 0.0000 0.0000 0.2524
I2 I 0.2449 0.2449 0.5000
```

---

[3]
MgPS2I | GGA-PBE | relaxed

Calculated values
Energy relative to the elements, uncorrected: 0.5477 eV per atom
Energy: -2.814 eV per atom
DOS(E_F): 5.89 states/eV/cell

Structure (CIF):
```
data_MgPS2I
_chemical_formula_sum 'Mg1 P1 S2 I1'
_symmetry_space_group_name_H-M 'P 4/m m m'
_symmetry_Int_Tables_number 123
_symmetry_space_group_name_Hall '-P 4 2'
_cell_length_a 4.7057
_cell_length_b 4.7057
_cell_length_c 5.3650
_cell_angle_alpha 90.00
_cell_angle_beta 90.00
_cell_angle_gamma 90.00
loop_
_atom_site_label
_atom_site_type_symbol
_atom_site_fract_x
_atom_site_fract_y
_atom_site_fract_z
Mg1 Mg 0.0000 0.0000 0.0000
P1 P 0.0000 0.0000 0.5000
S1 S 0.0000 0.5000 0.0000
I1 I 0.5000 0.5000 0.5000
```

---

[4]
MgP2SI | GGA-PBE | relaxed

Calculated values
Energy relative to the elements, uncorrected: 1.0991 eV per atom
Energy: -2.519 eV per atom
DOS(E_F): 5.42 states/eV/cell

Structure (CIF):
```
data_MgP2SI
_chemical_formula_sum 'Mg1 P2 S1 I1'
_symmetry_space_group_name_H-M 'P 4/m m m'
_symmetry_Int_Tables_number 123
_symmetry_space_group_name_Hall '-P 4 2'
_cell_length_a 5.1502
_cell_length_b 5.1502
_cell_length_c 5.0468
_cell_angle_alpha 90.00
_cell_angle_beta 90.00
_cell_angle_gamma 90.00
loop_
_atom_site_label
_atom_site_type_symbol
_atom_site_fract_x
_atom_site_fract_y
_atom_site_fract_z
Mg1 Mg 0.0000 0.0000 0.0000
P1 P 0.0000 0.5000 0.5000
S1 S 0.5000 0.5000 0.0000
I1 I 0.5000 0.5000 0.5000
```

---

[5]
MgP2SI | GGA-PBE | relaxed

Calculated values
Energy relative to the elements, uncorrected: 0.7667 eV per atom
Energy: -2.852 eV per atom
DOS(E_F): 6.14 states/eV/cell

Structure (CIF):
```
data_MgP2SI
_chemical_formula_sum 'Mg1 P2 S1 I1'
_symmetry_space_group_name_H-M 'P 4/m m m'
_symmetry_Int_Tables_number 123
_symmetry_space_group_name_Hall '-P 4 2'
_cell_length_a 5.0623
_cell_length_b 5.0623
_cell_length_c 4.6109
_cell_angle_alpha 90.00
_cell_angle_beta 90.00
_cell_angle_gamma 90.00
loop_
_atom_site_label
_atom_site_type_symbol
_atom_site_fract_x
_atom_site_fract_y
_atom_site_fract_z
Mg1 Mg 0.0000 0.0000 0.0000
P1 P 0.0000 0.5000 0.0000
S1 S 0.0000 0.0000 0.5000
I1 I 0.5000 0.5000 0.5000
```

---

[6]
MgPS2I | GGA-PBE | relaxed

Calculated values
Energy relative to the elements, uncorrected: 0.8414 eV per atom
Energy: -2.521 eV per atom
DOS(E_F): 4.66 states/eV/cell

Structure (CIF):
```
data_MgPS2I
_chemical_formula_sum 'Mg1 P1 S2 I1'
_symmetry_space_group_name_H-M 'P 4/m m m'
_symmetry_Int_Tables_number 123
_symmetry_space_group_name_Hall '-P 4 2'
_cell_length_a 5.0522
_cell_length_b 5.0522
_cell_length_c 5.1842
_cell_angle_alpha 90.00
_cell_angle_beta 90.00
_cell_angle_gamma 90.00
loop_
_atom_site_label
_atom_site_type_symbol
_atom_site_fract_x
_atom_site_fract_y
_atom_site_fract_z
Mg1 Mg 0.0000 0.0000 0.0000
P1 P 0.5000 0.5000 0.0000
S1 S 0.0000 0.5000 0.5000
I1 I 0.5000 0.5000 0.5000
```

---

[7]
MgSb2PI | GGA-PBE | relaxed

Calculated values
Energy relative to the elements, uncorrected: 0.8301 eV per atom
Energy: -2.530 eV per atom
DOS(E_F): 4.79 states/eV/cell

Structure (CIF):
```
data_MgSb2PI
_chemical_formula_sum 'Mg1 Sb2 P1 I1'
_symmetry_space_group_name_H-M 'P 4/m m m'
_symmetry_Int_Tables_number 123
_symmetry_space_group_name_Hall '-P 4 2'
_cell_length_a 5.4878
_cell_length_b 5.4878
_cell_length_c 5.3156
_cell_angle_alpha 90.00
_cell_angle_beta 90.00
_cell_angle_gamma 90.00
loop_
_atom_site_label
_atom_site_type_symbol
_atom_site_fract_x
_atom_site_fract_y
_atom_site_fract_z
Mg1 Mg 0.0000 0.0000 0.0000
Sb1 Sb 0.0000 0.5000 0.0000
P1 P 0.5000 0.5000 0.5000
I1 I 0.0000 0.0000 0.5000
```

---

[8]
MgSb2PI | GGA-PBE | relaxed

Calculated values
Energy relative to the elements, uncorrected: 0.4765 eV per atom
Energy: -2.883 eV per atom
DOS(E_F): 4.89 states/eV/cell

Structure (CIF):
```
data_MgSb2PI
_chemical_formula_sum 'Mg1 Sb2 P1 I1'
_symmetry_space_group_name_H-M 'P 4/m m m'
_symmetry_Int_Tables_number 123
_symmetry_space_group_name_Hall '-P 4 2'
_cell_length_a 5.3063
_cell_length_b 5.3063
_cell_length_c 5.3651
_cell_angle_alpha 90.00
_cell_angle_beta 90.00
_cell_angle_gamma 90.00
loop_
_atom_site_label
_atom_site_type_symbol
_atom_site_fract_x
_atom_site_fract_y
_atom_site_fract_z
Mg1 Mg 0.0000 0.0000 0.0000
Sb1 Sb 0.0000 0.5000 0.5000
P1 P 0.5000 0.5000 0.5000
I1 I 0.5000 0.5000 0.0000
```

---

[9]
MgPSeI2 | GGA-PBE | relaxed

Calculated values
Energy relative to the elements, uncorrected: 0.4082 eV per atom
Energy: -2.310 eV per atom
DOS(E_F): 4.17 states/eV/cell

Structure (CIF):
```
data_MgPSeI2
_chemical_formula_sum 'Mg1 P1 Se1 I2'
_symmetry_space_group_name_H-M 'P 4/m m m'
_symmetry_Int_Tables_number 123
_symmetry_space_group_name_Hall '-P 4 2'
_cell_length_a 5.7245
_cell_length_b 5.7245
_cell_length_c 5.1398
_cell_angle_alpha 90.00
_cell_angle_beta 90.00
_cell_angle_gamma 90.00
loop_
_atom_site_label
_atom_site_type_symbol
_atom_site_fract_x
_atom_site_fract_y
_atom_site_fract_z
Mg1 Mg 0.0000 0.0000 0.0000
P1 P 0.5000 0.5000 0.5000
Se1 Se 0.0000 0.0000 0.5000
I1 I 0.0000 0.5000 0.0000
```

---

[10]
Mg2SnPI | GGA-PBE | relaxed

Calculated values
Energy relative to the elements, uncorrected: -0.0159 eV per atom
Energy: -2.846 eV per atom
DOS(E_F): 1.99 states/eV/cell

Structure (CIF):
```
data_Mg2SnPI
_chemical_formula_sum 'Mg2 Sn1 P1 I1'
_symmetry_space_group_name_H-M 'P 4/m m m'
_symmetry_Int_Tables_number 123
_symmetry_space_group_name_Hall '-P 4 2'
_cell_length_a 4.9622
_cell_length_b 4.9622
_cell_length_c 5.8957
_cell_angle_alpha 90.00
_cell_angle_beta 90.00
_cell_angle_gamma 90.00
loop_
_atom_site_label
_atom_site_type_symbol
_atom_site_fract_x
_atom_site_fract_y
_atom_site_fract_z
Mg1 Mg 0.0000 0.5000 0.0000
Sn1 Sn 0.0000 0.0000 0.5000
P1 P 0.0000 0.0000 0.0000
I1 I 0.5000 0.5000 0.5000
```

---

[11]
MgSn2PI | GGA-PBE | relaxed

Calculated values
Energy relative to the elements, uncorrected: 1.0761 eV per atom
Energy: -2.236 eV per atom
DOS(E_F): 2.34 states/eV/cell

Structure (CIF):
```
data_MgSn2PI
_chemical_formula_sum 'Mg1 Sn2 P1 I1'
_symmetry_space_group_name_H-M 'P 4/m m m'
_symmetry_Int_Tables_number 123
_symmetry_space_group_name_Hall '-P 4 2'
_cell_length_a 5.8773
_cell_length_b 5.8773
_cell_length_c 5.3812
_cell_angle_alpha 90.00
_cell_angle_beta 90.00
_cell_angle_gamma 90.00
loop_
_atom_site_label
_atom_site_type_symbol
_atom_site_fract_x
_atom_site_fract_y
_atom_site_fract_z
Mg1 Mg 0.0000 0.0000 0.0000
Sn1 Sn 0.0000 0.5000 0.5000
P1 P 0.5000 0.5000 0.0000
I1 I 0.0000 0.0000 0.5000
```

---

[12]
MgTePI2 | GGA-PBE | relaxed

Calculated values
Energy relative to the elements, uncorrected: 0.1753 eV per atom
Energy: -2.474 eV per atom
DOS(E_F): 1.68 states/eV/cell

Structure (CIF):
```
data_MgTePI2
_chemical_formula_sum 'Mg1 Te1 P1 I2'
_symmetry_space_group_name_H-M 'P 4/m m m'
_symmetry_Int_Tables_number 123
_symmetry_space_group_name_Hall '-P 4 2'
_cell_length_a 5.3788
_cell_length_b 5.3788
_cell_length_c 5.5729
_cell_angle_alpha 90.00
_cell_angle_beta 90.00
_cell_angle_gamma 90.00
loop_
_atom_site_label
_atom_site_type_symbol
_atom_site_fract_x
_atom_site_fract_y
_atom_site_fract_z
Mg1 Mg 0.0000 0.0000 0.0000
Te1 Te 0.5000 0.5000 0.0000
P1 P 0.5000 0.5000 0.5000
I1 I 0.0000 0.5000 0.5000
```

---

[13]
MgTePI2 | GGA-PBE | relaxed

Calculated values
Energy relative to the elements, uncorrected: 0.4099 eV per atom
Energy: -2.239 eV per atom
DOS(E_F): 3.07 states/eV/cell

Structure (CIF):
```
data_MgTePI2
_chemical_formula_sum 'Mg1 Te1 P1 I2'
_symmetry_space_group_name_H-M 'P 4/m m m'
_symmetry_Int_Tables_number 123
_symmetry_space_group_name_Hall '-P 4 2'
_cell_length_a 5.5438
_cell_length_b 5.5438
_cell_length_c 5.9548
_cell_angle_alpha 90.00
_cell_angle_beta 90.00
_cell_angle_gamma 90.00
loop_
_atom_site_label
_atom_site_type_symbol
_atom_site_fract_x
_atom_site_fract_y
_atom_site_fract_z
Mg1 Mg 0.0000 0.0000 0.0000
Te1 Te 0.0000 0.0000 0.5000
P1 P 0.5000 0.5000 0.5000
I1 I 0.0000 0.5000 0.0000
```